# Ac4GaGeTe2

A relaxed structure of Ac4GaGeTe2 (PBE, Alexandria via LeMat-Bulk).

Density ... 7.368 g cm⁻³
Energy ... -38.80 eV/cell
Space group ... P2/m
Formation energy (no corrections) ... -1.0544 eV/atom
Crystal system ... monoclinic

Cell and atoms, written as extended XYZ:
```
8
Lattice="4.621 0.000 0.000 0.000 8.057 0.155 0.000 -2.803 7.848" Properties=species:S:1:pos:R:3 pbc="T T T"
Ac 2.311 1.284 1.820
Ac 2.311 3.970 6.184
Ac 0.000 -0.116 6.062
Ac 0.000 5.369 1.942
Ga 2.311 4.029 0.078
Ge 0.000 0.000 0.000
Te 2.311 -1.402 3.924
Te 0.000 2.627 4.002
```